(1)
Compound: InGaBi3
Source: the Alexandria database
Functional: PBE
Structure: relaxed

abc: 5.7971 5.7971 5.7971
angles: 90.00 90.00 90.00
Fractional coordinates of all 5 atoms:
In1 0.0000 0.0000 0.0000
Ga1 0.5000 0.5000 0.5000
Bi1 0.0000 0.0000 0.5000
Bi2 0.0000 0.5000 0.0000
Bi3 0.5000 0.0000 0.0000

Results
ΔH_f (0 K), eV/atom: 0.6534
Energy above the most stable polymorph in this dataset, eV/atom: 0.2417
Volume, Å³ per atom: 38.96
Symmetry: Pm-3m

(2)
Compound: InGaBi
Source: the Alexandria database
Functional: PBE
Structure: relaxed

abc: 4.7023 5.5855 6.7465
angles: 86.67 85.92 68.24
Fractional coordinates of all 6 atoms:
In1 0.0000 0.0000 0.0000
In2 0.3130 0.3445 0.2207
Ga1 0.6410 0.7614 0.7681
Ga2 0.9641 0.0676 0.5187
Bi1 0.3138 0.3872 0.7453
Bi2 0.6303 0.7265 0.3193

Results
ΔH_f (0 K), eV/atom: 0.0636
Energy above the most stable polymorph in this dataset, eV/atom: 0.0270
Volume, Å³ per atom: 27.34
Symmetry: P1

(3)
Compound: InGaBi2
Source: the Alexandria database
Functional: PBE
Structure: relaxed

abc: 7.6593 7.6593 7.6593
angles: 32.72 32.72 32.72
Fractional coordinates of all 4 atoms:
In1 0.0000 0.0000 0.0000
Ga1 0.5000 0.5000 0.5000
Bi1 0.2428 0.2428 0.2428
Bi2 0.7572 0.7572 0.7572

Results
ΔH_f (0 K), eV/atom: 0.0887
Energy above the most stable polymorph in this dataset, eV/atom: 0.0703
Volume, Å³ per atom: 29.19
Symmetry: R-3m

(4)
Compound: In5Ga2Bi4
Source: the Alexandria database
Functional: PBE
Structure: relaxed

abc: 5.0030 7.2031 9.2911
angles: 90.07 91.55 97.39
Fractional coordinates of all 11 atoms:
In1 0.0000 0.0000 0.0000
In2 0.4006 0.6822 0.0661
In3 0.4203 0.7003 0.4499
In4 0.5797 0.2997 0.5501
In5 0.5994 0.3178 0.9339
Ga1 0.0291 0.0465 0.6372
Ga2 0.9709 0.9535 0.3628
Bi1 0.1095 0.4452 0.7420
Bi2 0.4997 0.1140 0.2433
Bi3 0.5003 0.8860 0.7567
Bi4 0.8905 0.5548 0.2580

Results
ΔH_f (0 K), eV/atom: 0.0665
Volume, Å³ per atom: 30.17
Symmetry: P-1